First-principles (GGA+U) data for a relaxed ZnFePO5 crystal, as listed in Alexandria.

Cell: 5.504 5.507 7.226 Å, 108.51 108.50 94.61°
Space group P1 (No. 1)
One atom of each set of equivalent atoms:
Zn 0.000 0.000 0.000 x1
Zn 0.375 0.631 0.501 x1
Fe 0.678 0.316 0.220 x1
Fe 0.689 0.306 0.720 x1
P 0.038 0.952 0.468 x1
P 0.325 0.667 0.969 x1
O 0.019 0.614 0.868 x1
O 0.345 0.011 0.576 x1
O 0.382 0.974 0.076 x1
O 0.415 0.536 0.131 x1
O 0.452 0.582 0.801 x1
O 0.598 0.394 0.471 x1
O 0.766 0.226 0.970 x1
O 0.905 0.041 0.629 x1
O 0.952 0.077 0.300 x1
O 0.988 0.645 0.368 x1

Calculated volume, Å³ per atom: 12.06
Energy, eV per atom: -6.45
Theoretical density, g cm⁻³: 4.00